No. 1
{
  "formula": "Ti4InTe",
  "functional": "PBE",
  "state": "relaxed",
  "final_energy_ev_per_atom": -6.26,
  "raw_formation_energy_ev_per_atom": -0.015,
  "sg": "P-1, No. 2",
  "total_magnetization_mub_per_atom": 0.034,
  "lattice_angstrom": [[-3.421, -3.514, 1.716], [3.931, -2.688, 4.464], [-2.308, 6.637, 3.343]],
  "species": ["Ti", "Ti", "Ti", "Ti", "Te", "Te", "In", "Ti", "Ti", "Ti", "In", "Ti"],
  "fractional_positions": [[0.343, 0.523, 0.840], [0.579, 0.109, 0.888], [0.421, 0.891, 0.112], [0.657, 0.477, 0.160], [0.500, 0.000, 0.500], [0.000, 0.500, 0.500], [0.871, 0.730, 0.960], [0.936, 0.061, 0.297], [0.783, 0.327, 0.704], [0.217, 0.673, 0.296], [0.129, 0.270, 0.040], [0.064, 0.939, 0.703]]
}

***

No. 2
{
  "formula": "Pr3Ge13Os4",
  "functional": "PBE",
  "state": "relaxed",
  "final_energy_ev_per_atom": -6.29,
  "sg": "Pm-3n, No. 223",
  "delta_e_f_ev_per_fu": -6.51,
  "total_magnetization_mub_per_atom": 0.000,
  "lattice_angstrom": [[-7.762, -4.929, -0.020], [4.665, -7.334, -2.999], [1.592, -2.542, 8.692]],
  "species": ["Ge", "Ge", "Os", "Os", "Ge", "Ge", "Ge", "Ge", "Ge", "Ge", "Ge", "Ge", "Ge", "Ge", "Os", "Ge", "Ge", "Ge", "Pr", "Ge", "Ge", "Ge", "Os", "Ge", "Os", "Os", "Ge", "Ge", "Pr", "Pr", "Pr", "Pr", "Pr", "Ge", "Os", "Os", "Ge", "Ge", "Ge", "Ge"],
  "fractional_positions": [[0.000, 0.854, 0.707], [0.293, 0.000, 0.146], [0.250, 0.250, 0.750], [0.750, 0.750, 0.750], [0.646, 0.500, 0.207], [0.500, 0.500, 0.500], [0.354, 0.500, 0.793], [0.854, 0.707, 0.000], [0.707, 0.000, 0.146], [0.000, 0.854, 0.293], [0.500, 0.207, 0.646], [0.293, 0.000, 0.854], [0.793, 0.646, 0.500], [0.207, 0.646, 0.500], [0.250, 0.750, 0.750], [0.793, 0.354, 0.500], [0.000, 0.146, 0.707], [0.000, 0.146, 0.293], [0.000, 0.500, 0.250], [0.146, 0.293, 0.000], [0.000, 0.000, 0.000], [0.646, 0.500, 0.793], [0.250, 0.250, 0.250], [0.500, 0.793, 0.354], [0.250, 0.750, 0.250], [0.750, 0.250, 0.250], [0.500, 0.793, 0.646], [0.707, 0.000, 0.854], [0.500, 0.250, 0.000], [0.500, 0.750, 0.000], [0.250, 0.000, 0.500], [0.000, 0.500, 0.750], [0.750, 0.000, 0.500], [0.146, 0.707, 0.000], [0.750, 0.250, 0.750], [0.750, 0.750, 0.250], [0.354, 0.500, 0.207], [0.500, 0.207, 0.354], [0.854, 0.293, 0.000], [0.207, 0.354, 0.500]]
}

***

No. 3
{
  "formula": "KInGe",
  "functional": "PBE",
  "state": "relaxed",
  "final_energy_ev_per_atom": -2.75,
  "sg": "Cmcm, No. 63",
  "delta_e_f_ev_per_fu": 0.21,
  "total_magnetization_mub_per_atom": 0.000,
  "lattice_angstrom": [[7.059, 2.533, -4.101], [-8.148, 2.329, 1.118], [1.020, 2.103, 3.055]],
  "species": ["K", "Ge", "Ge", "In", "K", "In"],
  "fractional_positions": [[0.596, 0.404, 0.250], [0.950, 0.050, 0.250], [0.050, 0.950, 0.750], [0.788, 0.212, 0.750], [0.404, 0.596, 0.750], [0.212, 0.788, 0.250]]
}

***

No. 4
{
  "formula": "ThSc3Sn",
  "functional": "PBE",
  "state": "relaxed",
  "final_energy_ev_per_atom": -6.18,
  "sg": "Pnma, No. 62",
  "delta_e_f_ev_per_fu": -0.47,
  "total_magnetization_mub_per_atom": 0.000,
  "lattice_angstrom": [[-3.554, 4.842, -1.119], [-5.127, -5.406, -7.102], [-5.495, -2.651, 5.985]],
  "species": ["Sc", "Sc", "Sc", "Sn", "Th", "Sc", "Sc", "Sn", "Sc", "Sn", "Th", "Th", "Sc", "Sc", "Sc", "Sc", "Th", "Sn", "Sc", "Sc"],
  "fractional_positions": [[0.001, 0.689, 0.250], [0.250, 0.250, 0.063], [0.750, 0.750, 0.563], [0.500, 0.000, 0.500], [0.999, 0.019, 0.750], [0.750, 0.750, 0.937], [0.250, 0.750, 0.937], [0.000, 0.500, 0.000], [0.750, 0.250, 0.437], [0.000, 0.500, 0.500], [0.001, 0.981, 0.250], [0.501, 0.519, 0.250], [0.750, 0.250, 0.063], [0.250, 0.250, 0.437], [0.250, 0.750, 0.563], [0.499, 0.189, 0.750], [0.499, 0.481, 0.750], [0.500, 0.000, 0.000], [0.999, 0.311, 0.750], [0.501, 0.811, 0.250]]
}

***

No. 5
{
  "formula": "Ac3AlSi2Pd9",
  "functional": "PBE",
  "state": "relaxed",
  "final_energy_ev_per_atom": -5.65,
  "raw_formation_energy_ev_per_atom": -0.738,
  "sg": "P-3m1, No. 164",
  "total_magnetization_mub_per_atom": 0.000,
  "lattice_angstrom": [[6.472, 0.000, 0.000], [-3.236, 5.605, 0.000], [0.000, 0.000, 8.924]],
  "species": ["Ac", "Si", "Pd", "Pd", "Pd", "Ac", "Ac", "Pd", "Pd", "Al", "Pd", "Si", "Pd", "Pd", "Pd"],
  "fractional_positions": [[0.333, 0.667, 0.659], [0.333, 0.667, 0.177], [0.147, 0.293, 0.290], [0.147, 0.853, 0.290], [0.707, 0.853, 0.290], [0.667, 0.333, 0.341], [0.000, 0.000, 0.000], [0.500, 0.000, 0.000], [0.500, 0.500, 0.000], [0.000, 0.000, 0.500], [0.293, 0.147, 0.710], [0.667, 0.333, 0.823], [0.853, 0.147, 0.710], [0.000, 0.500, 0.000], [0.853, 0.707, 0.710]]
}

***

No. 6
{
  "formula": "ReNi3Rh",
  "functional": "PBE",
  "state": "relaxed",
  "final_energy_ev_per_atom": -7.39,
  "polymorph_energy_kcal_per_mol_atoms": 0.84,
  "sg": "P-1, No. 2",
  "delta_e_f_ev_per_fu": 0.21,
  "total_magnetization_mub_per_atom": 0.180,
  "lattice_angstrom": [[2.567, -0.129, 0.292], [-0.181, 6.916, 4.571], [0.445, 1.932, 8.365]],
  "species": ["Rh", "Ni", "Re", "Re", "Ni", "Rh", "Ni", "Ni", "Ni", "Ni"],
  "fractional_positions": [[0.401, 0.461, 0.262], [0.694, 0.139, 0.675], [0.113, 0.281, 0.836], [0.403, 0.937, 0.260], [0.805, 0.554, 0.452], [0.115, 0.757, 0.834], [0.710, 0.664, 0.643], [0.010, 0.863, 0.045], [0.506, 0.355, 0.051], [0.822, 0.079, 0.421]]
}

***

No. 7
{
  "formula": "HfZrAs2Se",
  "functional": "PBE",
  "state": "relaxed",
  "final_energy_ev_per_atom": -6.00,
  "polymorph_energy_kcal_per_mol_atoms": 4.50,
  "raw_formation_energy_ev_per_atom": 0.253,
  "sg": "P4/mmm, No. 123",
  "total_magnetization_mub_per_atom": 0.000,
  "lattice_angstrom": [[-3.510, -2.398, 2.855], [1.300, -4.462, -2.150], [3.424, -0.734, 3.594]],
  "species": ["As", "Hf", "Zr", "As", "Se"],
  "fractional_positions": [[0.500, 0.000, 0.000], [0.500, 0.500, 0.500], [0.000, 0.000, 0.000], [0.000, 0.500, 0.000], [0.000, 0.000, 0.500]]
}

***

No. 8
{
  "formula": "Na3PaBr7",
  "functional": "PBE",
  "state": "relaxed",
  "final_energy_ev_per_atom": -3.77,
  "raw_formation_energy_ev_per_atom": -1.486,
  "sg": "Cm, No. 8",
  "total_magnetization_mub_per_atom": 0.091,
  "lattice_angstrom": [[6.790, 1.475, 3.283], [-0.125, 6.948, 3.283], [-0.249, -0.315, 7.977]],
  "species": ["Pa", "Br", "Br", "Na", "Br", "Br", "Br", "Na", "Br", "Br", "Na"],
  "fractional_positions": [[0.938, 0.938, 0.042], [0.129, 0.129, 0.147], [0.658, 0.658, 0.270], [0.561, 0.561, 0.005], [0.137, 0.606, 0.280], [0.606, 0.137, 0.280], [0.851, 0.851, 0.760], [0.252, 0.811, 0.460], [0.314, 0.869, 0.773], [0.869, 0.314, 0.773], [0.811, 0.252, 0.460]]
}

***

No. 9
{
  "formula": "CeNdPtAu",
  "functional": "PBE",
  "state": "relaxed",
  "final_energy_ev_per_atom": -5.93,
  "polymorph_energy_kcal_per_mol_atoms": 0.00,
  "sg": "Amm2, No. 38",
  "delta_e_f_ev_per_fu": -3.70,
  "total_magnetization_mub_per_atom": 0.148,
  "lattice_angstrom": [[3.891, 0.000, 0.000], [0.000, 4.530, 0.000], [-1.945, 0.000, 5.697]],
  "species": ["Ce", "Au", "Nd", "Pt"],
  "fractional_positions": [[0.867, 0.500, 0.734], [0.585, 0.500, 0.171], [0.143, 0.000, 0.286], [0.405, 0.000, 0.809]]
}

***

No. 10
{
  "formula": "CdCo2As",
  "functional": "PBE",
  "state": "relaxed",
  "final_energy_ev_per_atom": -4.45,
  "polymorph_energy_kcal_per_mol_atoms": 9.49,
  "sg": "F-43m, No. 216",
  "delta_e_f_ev_per_fu": 1.97,
  "total_magnetization_mub_per_atom": 0.634,
  "lattice_angstrom": [[-3.864, -2.090, 0.217], [-0.614, -3.184, 2.971], [-2.676, 0.674, 3.425]],
  "species": ["Cd", "Co", "Co", "As"],
  "fractional_positions": [[0.750, 0.750, 0.750], [0.000, 0.000, 0.000], [0.250, 0.250, 0.250], [0.500, 0.500, 0.500]]
}

***

No. 11
{
  "formula": "YTm4Sn2",
  "functional": "PBE",
  "state": "relaxed",
  "final_energy_ev_per_atom": -4.96,
  "sg": "P4_2/mnm, No. 136",
  "delta_e_f_ev_per_fu": -2.39,
  "total_magnetization_mub_per_atom": 0.000,
  "lattice_angstrom": [[-1.731, -0.731, -3.969], [1.879, -9.486, 0.927], [-8.727, -1.333, 4.053]],
  "species": ["Tm", "Y", "Tm", "Sn", "Tm", "Y", "Tm", "Tm", "Sn", "Sn", "Tm", "Tm", "Tm", "Sn"],
  "fractional_positions": [[0.000, 0.656, 0.900], [0.500, 0.000, 0.000], [0.000, 0.344, 0.100], [0.000, 0.831, 0.169], [0.000, 0.900, 0.656], [0.000, 0.500, 0.500], [0.500, 0.600, 0.156], [0.500, 0.156, 0.600], [0.000, 0.169, 0.831], [0.500, 0.331, 0.331], [0.500, 0.844, 0.400], [0.500, 0.400, 0.844], [0.000, 0.100, 0.344], [0.500, 0.669, 0.669]]
}